The following is a PBE with a Hubbard U calculation of an optimized crystal structure of CaW4O6, from the Alexandria database.

## Properties
* total DFT energy (no corrections): -149.4 eV for the cell shown
* theoretical density: 10.35 g cm⁻³

Cell: 5.5871 5.5871 16.3056 Å, 90.00 90.00 146.67°
Last column: magnetic moment on the atom in μB.
Atoms (fractional coordinates):
1 O 0.9774 0.0226 0.1503  0.01
2 O 0.2624 0.7376 0.3813  0.00
3 O 0.6916 0.3084 0.2500  0.03
4 O 0.3084 0.6916 0.7500  0.03
5 O 0.7376 0.2624 0.8813  0.00
6 O 0.7376 0.2624 0.6187  0.00
7 O 0.5000 0.5000 0.0000  0.01
8 O 0.2624 0.7376 0.1187  0.00
9 O 0.9774 0.0226 0.3497  0.01
10 O 0.5000 0.5000 0.5000  0.01
11 O 0.0226 0.9774 0.8497  0.01
12 O 0.0226 0.9774 0.6503  0.01
13 Ca 0.6501 0.3499 0.7500  0.01
14 Ca 0.3499 0.6501 0.2500  0.01
15 W 0.3903 0.6097 0.6324  2.55
16 W 0.3903 0.6097 0.8676  2.55
17 W 0.6097 0.3903 0.1324  2.55
18 W 0.1449 0.8551 0.9561  0.63
19 W 0.1449 0.8551 0.5439  0.63
20 W 0.8551 0.1449 0.4561  0.63
21 W 0.6097 0.3903 0.3676  2.55
22 W 0.8551 0.1449 0.0439  0.63